VASP calculation (PBE-GGA) on YPuPb after structural relaxation.

Cell lengths 5.262, 5.262, 5.262 Å; angles 60.00, 60.00, 60.00 degrees
Element x y z (fractional)
Y1 0.000 0.000 0.000
Pu1 0.500 0.500 0.500
Pb1 0.750 0.750 0.750

---

VASP calculation (PBE-GGA) on PuZrPb after structural relaxation.

Cell lengths 4.967, 4.967, 4.967 Å; angles 60.00, 60.00, 60.00 degrees
Element x y z (fractional)
Pu1 0.000 0.000 0.000
Zr1 0.500 0.500 0.500
Pb1 0.750 0.750 0.750

---

VASP calculation (PBE-GGA) on RbRePb after structural relaxation.

Cell lengths 5.377, 5.377, 5.377 Å; angles 60.00, 60.00, 60.00 degrees
Element x y z (fractional)
Rb1 0.000 0.000 0.000
Re1 0.250 0.250 0.250
Pb1 0.750 0.750 0.750

---

Number 1: spin magnetization 2.346 μB per atom, VASP energy -8.125 eV/atom. Number 2: spin magnetization 2.326 μB per atom, VASP energy -8.470 eV/atom. Number 3: spin magnetization 1.053 μB per atom, VASP energy -3.337 eV/atom.